{"formula": "SrCa2Zn", "functional": "GGA-PBE", "state": "relaxed", "spacegroup": "C2/m, No. 12", "density_g_cm3": 2.62, "final_energy_ev_per_cell": -13.1, "cell": [[7.1222, 0.0000, 0.0000], [0.0000, 12.2337, 0.0000], [-1.7798, 0.0000, 3.3873]], "species": ["Sr", "Sr", "Ca", "Ca", "Ca", "Ca", "Zn", "Zn"], "fractional_positions": [[0.0000, 0.0000, 0.0000], [0.5000, 0.5000, 0.0000], [0.2500, 0.2500, 0.5000], [0.2500, 0.7500, 0.5000], [0.7500, 0.2500, 0.5000], [0.7500, 0.7500, 0.5000], [0.0000, 0.5000, 0.0000], [0.5000, 0.0000, 0.0000]]}